Density functional theory data (PBE+U) for BeMoO3 after structural relaxation.

The structure in POSCAR format:
```
BeMoO3
1.0
3.4381 0.0000 0.0000
0.0000 3.4381 0.0000
0.0000 0.0000 3.4381
Be Mo O
1 1 3
direct
0.0000 0.0000 0.0000 Be
0.5000 0.5000 0.5000 Mo
0.0000 0.0000 0.5000 O
0.0000 0.5000 0.0000 O
0.5000 0.0000 0.0000 O
```

For the total energy, the calculation gives -31.5 eV per cell.